The following is a PBE-GGA calculation of crystalline RbTeP3 at its relaxed geometry, from the Alexandria database.

Summary:
Polymorph energy (0 for the lowest one) ... 0.0 meV per atom
SG ... Pm-3m
N(E_F) ... 5.344 states/eV/f.u.
Total energy ... -3.307 eV/atom

CIF file:
```
data_RbTeP3
_space_group_name_H-M_alt 'P 1'
_space_group_IT_number 1
_space_group_name_Hall 'P 1'
_cell_length_a 5.2702
_cell_length_b 5.2702
_cell_length_c 5.2702
_cell_angle_alpha 90.00
_cell_angle_beta 90.00
_cell_angle_gamma 90.00
loop_
_atom_site_label
_atom_site_type_symbol
_atom_site_fract_x
_atom_site_fract_y
_atom_site_fract_z
Rb1 Rb 0.5000 0.5000 0.5000
P1 P 0.5000 0.0000 0.0000
P2 P 0.0000 0.5000 0.0000
P3 P 0.0000 0.0000 0.5000
Te1 Te 0.0000 0.0000 0.0000
```